Entry 1:
Computed, not measured: Na3TlZn4Br12 after structural relaxation at the GGA-PBE level of DFT.

Unit cell a=9.4277 b=9.4277 c=9.4277 alpha=104.72 beta=104.72 gamma=104.72
Positions (direct):
Br: 0.2094 0.3389 0.9519
Br: 0.5000 0.1016 0.8984
Br: 0.6569 0.5000 0.3431
Br: 0.1016 0.8984 0.5000
Br: 0.8984 0.5000 0.1016
Br: 0.9519 0.2094 0.3389
Br: 0.6611 0.7906 0.0481
Br: 0.5000 0.3431 0.6569
Br: 0.0481 0.6611 0.7906
Br: 0.3389 0.9519 0.2094
Br: 0.7906 0.0481 0.6611
Br: 0.3431 0.6569 0.5000
Zn: 0.5000 0.9442 0.0558
Zn: 0.9442 0.0558 0.5000
Zn: 0.0558 0.5000 0.9442
Zn: 0.5000 0.5000 0.5000
Tl: 0.0000 0.0000 0.0000
Na: 0.0000 0.5498 0.4502
Na: 0.4502 0.0000 0.5498
Na: 0.5498 0.4502 0.0000

DOS(E_F), states/eV per atom: 0.000
Final energy, Ha/atom: -0.0956
V, Å³/atom: 36.85
Magnetization, μB/cell: 0.00
Uncorrected formation energy, meV/atom: -1026

***

Entry 2:
Computed, not measured: ZrTa2Ni after structural relaxation at the GGA-PBE level of DFT.

Unit cell a=5.1953 b=5.4474 c=2.9193 alpha=79.33 beta=80.01 gamma=115.49
Positions (direct):
Zr: 0.0000 0.5000 0.5000
Ni: 0.5000 0.5000 0.0000
Ta: 0.5000 0.0000 0.5000
Ta: 0.0000 0.0000 0.0000

ΔE to the lowest computed polymorph, eV per atom: 0.181
DOS(E_F), states/eV per atom: 1.366
Energy of formation, meV per atom: 112.3
Final energy, Ha/atom: -0.3453
V, Å³/atom: 17.56
Magnetization, μB/cell: 0.00

***

Entry 3:
Computed, not measured: SrAlInS4 after structural relaxation at the GGA-PBE level of DFT.

Unit cell a=7.1711 b=7.1711 c=7.8747 alpha=90.00 beta=90.00 gamma=112.97
Positions (direct):
Sr: 0.5000 0.5000 0.0000
Sr: 0.5000 0.5000 0.5000
S: 0.2506 0.7494 0.4816
S: 0.7931 0.7680 0.2500
S: 0.2320 0.2069 0.2500
S: 0.7494 0.2506 0.9816
S: 0.2069 0.2320 0.7500
S: 0.7680 0.7931 0.7500
S: 0.2506 0.7494 0.0184
S: 0.7494 0.2506 0.5184
Al: 0.8622 0.1378 0.7500
Al: 0.1378 0.8622 0.2500
In: 0.8585 0.1415 0.2500
In: 0.1415 0.8585 0.7500

Final energy, Ha/atom: -0.1729
V, Å³/atom: 26.63
Magnetization, μB/cell: 0.00
Uncorrected formation energy, meV/atom: -1181

***

Entry 4:
Computed, not measured: Tm2ZrN3 after structural relaxation at the GGA-PBE level of DFT.

Unit cell a=3.3403 b=5.7987 c=11.1072 alpha=127.66 beta=90.00 gamma=106.74
Positions (direct):
Tm: 0.3334 0.6669 0.1665
Tm: 0.6666 0.3331 0.8335
Tm: 0.1665 0.3330 0.3335
Tm: 0.8335 0.6670 0.6665
Zr: 0.5000 0.0000 0.0000
Zr: 0.0000 0.0000 0.5000
N: 0.0799 0.1597 0.9199
N: 0.4202 0.8403 0.5801
N: 0.2500 0.4999 0.7499
N: 0.9201 0.8403 0.0801
N: 0.5798 0.1597 0.4199
N: 0.7500 0.5001 0.2501

DOS(E_F), states/eV per atom: 0.205
Final energy, Ha/atom: -0.3265
V, Å³/atom: 13.22
Magnetization, μB/cell: 0.00
Uncorrected formation energy, meV/atom: -1808

***

Entry 5:
Computed, not measured: Ce6Tc2IrCl3 after structural relaxation at the GGA-PBE level of DFT.

Unit cell a=6.9423 b=6.9423 c=7.7630 alpha=98.56 beta=98.56 gamma=120.01
Positions (direct):
Tc: 0.6664 0.3336 0.0000
Tc: 0.3336 0.6664 0.0000
Ce: 0.7303 0.7303 0.2074
Ce: 0.5924 0.9311 0.7932
Ce: 0.4076 0.0689 0.2068
Ce: 0.0689 0.4076 0.2068
Ce: 0.9311 0.5924 0.7932
Ce: 0.2697 0.2697 0.7926
Cl: 0.1684 0.8316 0.5000
Cl: 0.8316 0.1684 0.5000
Cl: 0.5000 0.5000 0.5000
Ir: 0.0000 0.0000 0.0000

DOS(E_F), states/eV per atom: 2.093
Final energy, Ha/atom: -0.2480
V, Å³/atom: 25.77
Magnetization, μB/cell: 3.02
Uncorrected formation energy, meV/atom: -853

***

Entry 6:
Computed, not measured: AcGd2Co after structural relaxation at the GGA-PBE level of DFT.

Unit cell a=3.8016 b=3.8016 c=10.7332 alpha=79.80 beta=79.80 gamma=60.00
Positions (direct):
Co: 0.5000 0.5000 0.5000
Gd: 0.8813 0.8813 0.3560
Gd: 0.1187 0.1187 0.6440
Ac: 0.0000 0.0000 0.0000

ΔE to the lowest computed polymorph, eV per atom: 0.089
DOS(E_F), states/eV per atom: 1.030
Energy of formation, meV per atom: 85.2
Final energy, Ha/atom: -0.3586
V, Å³/atom: 32.87
Magnetization, μB/cell: 14.30

***

Entry 7:
Computed, not measured: KGaBi after structural relaxation at the GGA-PBE level of DFT.

Unit cell a=5.2331 b=5.2331 c=5.2331 alpha=60.00 beta=60.00 gamma=60.00
Positions (direct):
Bi: 0.0000 0.0000 0.0000
K: 0.5000 0.5000 0.5000
Ga: 0.2500 0.2500 0.2500

ΔE to the lowest computed polymorph, eV per atom: 0.193
DOS(E_F), states/eV per atom: 0.310
Energy of formation, meV per atom: -82.3
Final energy, Ha/atom: -0.1011
V, Å³/atom: 33.78
Magnetization, μB/cell: 0.00

***

Entry 8:
Computed, not measured: NaPa2C after structural relaxation at the GGA-PBE level of DFT.

Unit cell a=3.3225 b=3.3225 c=10.3668 alpha=80.78 beta=80.78 gamma=60.00
Positions (direct):
Pa: 0.1184 0.1184 0.6449
Pa: 0.8816 0.8816 0.3551
C: 0.5000 0.5000 0.5000
Na: 0.0000 0.0000 0.0000

DOS(E_F), states/eV per atom: 1.598
Energy of formation, meV per atom: 6.2
Final energy, Ha/atom: -0.2711
V, Å³/atom: 24.35
Magnetization, μB/cell: 0.00